[1]
Ba2Ac3Sn4 after structural relaxation, computed with PBE-GGA.

Geometry as POSCAR:
```
Ba2Ac3Sn4
1.0
4.038 -9.397 0.000
4.038 9.397 0.000
0.000 0.000 9.629
Ba Ac Sn
4 6 8
direct
0.106 0.894 0.918
0.394 0.606 0.418
0.606 0.394 0.582
0.894 0.106 0.082
0.000 0.000 0.500
0.038 0.462 0.750
0.462 0.038 0.250
0.500 0.500 0.000
0.538 0.962 0.750
0.962 0.538 0.250
0.187 0.813 0.546
0.213 0.287 0.750
0.287 0.213 0.250
0.313 0.687 0.046
0.687 0.313 0.954
0.713 0.787 0.750
0.787 0.713 0.250
0.813 0.187 0.454
```

The calculation puts the total energy at -74.28 eV per cell. Its formation energy is -478 kJ/mol of formula units. As for the total moment: 0.000 μB per atom. Its symmetry is Cmce.

***

[2]
HfIn2Cu after structural relaxation, computed with PBE-GGA.

Geometry as POSCAR:
```
HfIn2Cu
1.0
1.579 0.912 10.222
-1.579 0.912 10.222
0.000 -1.823 10.222
Hf In Cu
1 2 1
direct
0.000 0.000 0.000
0.097 0.097 0.097
0.903 0.903 0.903
0.500 0.500 0.500
```

The calculation puts the total energy at -18.21 eV per cell. Its formation energy is 127 kJ/mol of formula units. As for the total moment: 0.000 μB per atom. Its symmetry is R-3m.

***

[3]
Pm2SmPbC after structural relaxation, computed with PBE-GGA.

Geometry as POSCAR:
```
Pm2SmPbC
1.0
5.090 0.000 0.000
0.000 5.090 0.000
0.000 0.000 5.060
Pm Sm Pb C
2 1 1 1
direct
0.000 0.500 0.000
0.500 0.000 0.000
0.000 0.000 0.500
0.500 0.500 0.500
0.000 0.000 0.000
```

The calculation puts the total energy at -29.37 eV per cell. Its formation energy is -214 kJ/mol of formula units. As for the total moment: 0.000 μB per atom. Its symmetry is P4/mmm.

***

[4]
ScInRe after structural relaxation, computed with PBE-GGA.

Geometry as POSCAR:
```
ScInRe
1.0
-1.454 2.143 4.482
1.454 -2.143 4.482
1.454 2.143 -4.482
Sc In Re
1 1 1
direct
0.000 0.000 0.000
0.678 0.678 0.000
0.342 0.342 0.000
```

The calculation puts the total energy at -21.21 eV per cell. Its formation energy is 30 kJ/mol of formula units. As for the total moment: 0.000 μB per atom. Its symmetry is Imm2.

***

[5]
KIr2Au after structural relaxation, computed with PBE-GGA.

Geometry as POSCAR:
```
KIr2Au
1.0
2.746 0.000 0.000
0.000 2.746 0.000
0.000 0.000 9.829
K Ir Au
1 2 1
direct
0.000 0.000 0.000
0.500 0.500 0.281
0.500 0.500 0.719
0.000 0.000 0.500
```

The calculation puts the total energy at -19.07 eV per cell. Its formation energy is 292 kJ/mol of formula units. As for the total moment: 0.232 μB per atom. Its symmetry is P4/mmm.

***

[6]
Er6Tl5Zn after structural relaxation, computed with PBE-GGA.

Geometry as POSCAR:
```
Er6Tl5Zn
1.0
3.199 -5.575 0.000
3.199 5.575 0.000
-2.188 0.000 9.384
Er Tl Zn
6 5 1
direct
0.079 0.403 0.742
0.240 0.240 0.252
0.403 0.079 0.742
0.597 0.921 0.258
0.760 0.760 0.748
0.921 0.597 0.258
0.173 0.827 0.000
0.337 0.663 0.500
0.500 0.500 0.000
0.663 0.337 0.500
0.827 0.173 0.000
0.000 0.000 0.500
```

The calculation puts the total energy at -43.28 eV per cell. Its formation energy is -270 kJ/mol of formula units. As for the total moment: 0.000 μB per atom. Its symmetry is C2/m.